# 1
! TbHoAu4, relaxed, DFT PBE-GGA; values from VASP
! formation energy: -0.862 eV/atom
! volume: 128 Å³ per cell
! symmetry: Cmmm, No. 65
&SYSTEM
  ibrav = 0, nat = 6, ntyp = 3
/
ATOMIC_SPECIES
Tb 158.93 Tb.upf
Au 196.97 Au.upf
Ho 164.93 Ho.upf
CELL_PARAMETERS angstrom
0.267 -3.854 3.637
-0.198 -3.637 -3.847
4.661 -1.879 1.538
ATOMIC_POSITIONS crystal
Tb 0.500 0.000 0.500
Au 0.665 0.500 0.169
Ho 0.000 0.500 0.500
Au 0.836 0.000 0.828
Au 0.335 0.500 0.831
Au 0.164 0.000 0.172

# 2
! Tb2HoAu, relaxed, DFT PBE-GGA; values from VASP
! relative energy among the computed polymorphs: 0.21 eV/f.u.
! formation energy: -0.391 eV/atom
! volume: 229 Å³ per cell
! symmetry: Cmcm, No. 63
&SYSTEM
  ibrav = 0, nat = 8, ntyp = 3
/
ATOMIC_SPECIES
Ho 164.93 Ho.upf
Tb 158.93 Tb.upf
Au 196.97 Au.upf
CELL_PARAMETERS angstrom
-3.771 3.176 -0.217
-0.771 -4.427 4.601
3.643 4.674 5.107
ATOMIC_POSITIONS crystal
Ho 0.042 0.084 0.750
Tb 0.643 0.286 0.465
Tb 0.357 0.714 0.965
Au 0.797 0.594 0.750
Ho 0.958 0.916 0.250
Tb 0.643 0.286 0.035
Au 0.203 0.406 0.250
Tb 0.357 0.714 0.535